The following is a DFT calculation (PBE with a Hubbard U) of a relaxed Cd3CoO crystal.

Unit cell a=4.964 b=4.964 c=4.964 alpha=90.00 beta=90.00 gamma=90.00
Each line ends with the local moment (μB).
Positions (direct):
Co 0.000 0.000 0.000  1.86
O 0.500 0.500 0.500  -0.10
Cd 0.000 0.500 0.000  -0.02
Cd 0.000 0.000 0.500  -0.01
Cd 0.500 0.000 0.000  -0.03

Values from the calculation:
- V (Å³/atom) = 24.5
- crystal system = cubic
- relative energy among the computed polymorphs (meV/atom) = 758
- space-group type = Pm-3m, No. 221
- total magnetization (μB/cell) = 1.62